! Pt2Rh2Au, optimized geometry, DFT PBE-GGA; values from VASP
! calculated total energy = -5.798 eV/atom
! formation enthalpy at 0 K = 0.21 eV/atom
! space-group type = P4/mbm
! D(E_F) = 16.5 states/eV per cell
! spin magnetization = 0.0 μB/cell
&SYSTEM
  ibrav = 0, nat = 10, ntyp = 3
/
ATOMIC_SPECIES
Pt 195.08 Pt.upf
Rh 102.91 Rh.upf
Au 196.97 Au.upf
CELL_PARAMETERS angstrom
7.712 0.000 0.000
0.000 7.712 0.000
0.000 0.000 2.760
ATOMIC_POSITIONS angstrom
Pt 0.958 2.898 0.000
Pt 2.898 6.754 0.000
Pt 4.814 0.958 0.000
Pt 6.754 4.814 0.000
Rh 1.344 5.199 1.380
Rh 2.512 1.344 1.380
Rh 5.199 6.368 1.380
Rh 6.368 2.512 1.380
Au 0.000 0.000 0.000
Au 3.856 3.856 0.000